No. 1
First-principles (GGA-PBE) data for crystalline LiCdSi2Mo at its relaxed geometry, as listed in Alexandria.

Properties
- ΔE_f (raw) (eV per atom) = 0.66
- SG = P4/mmm, No. 123
- crystal system = tetragonal

a b c (Å): 4.7213 4.7213 5.0875
angles (deg): 90.00 90.00 90.00
Last column: nearest neighbours and their distance in Å.
Atoms (fractional coordinates):
Li: 0.0000 0.0000 0.0000  2 Mo 2.54
Cd: 0.5000 0.5000 0.0000  4 Li 3.34, 8 Si 3.47
Si: 0.0000 0.5000 0.5000  2 Mo 2.36
Si: 0.5000 0.0000 0.5000  2 Mo 2.36
Mo: 0.0000 0.0000 0.5000  4 Si 2.36, 2 Li 2.54

No. 2
First-principles (GGA-PBE) data for crystalline LiTi2CdMo at its relaxed geometry, as listed in Alexandria.

Properties
- SG = P4/mmm, No. 123
- ΔE_f (eV per formula unit) = 3.63
- crystal system = tetragonal

a b c (Å): 4.6430 4.6430 4.9797
angles (deg): 90.00 90.00 90.00
Last column: nearest neighbours and their distance in Å.
Atoms (fractional coordinates):
Li: 0.0000 0.0000 0.0000  2 Mo 2.49
Ti: 0.0000 0.5000 0.5000  2 Mo 2.32
Ti: 0.5000 0.0000 0.5000  2 Mo 2.32
Cd: 0.5000 0.5000 0.0000  4 Li 3.28, 8 Ti 3.40
Mo: 0.0000 0.0000 0.5000  4 Ti 2.32, 2 Li 2.49

No. 3
First-principles (GGA-PBE) data for crystalline Li2CdN at its relaxed geometry, as listed in Alexandria.

Properties
- relative energy among the computed polymorphs (meV per atom) = 0
- ΔE_f (raw) (eV per atom) = 0.26
- SG = I4_1/amd, No. 141
- crystal system = tetragonal

a b c (Å): 6.7335 6.7335 6.7335
angles (deg): 139.08 139.08 59.26
Last column: nearest neighbours and their distance in Å.
Atoms (fractional coordinates):
Li: 0.0000 0.0000 0.0000  2 N 1.88
Li: 0.0000 0.0000 0.5000  2 N 1.88
Li: 0.0000 0.5000 0.0000  2 N 1.88
Li: 0.5000 0.0000 0.5000  2 N 1.88
Cd: 0.3750 0.6250 0.7500  8 Li 3.01, 4 N 3.33
Cd: 0.6250 0.3750 0.2500  8 Li 3.01, 4 N 3.33
N: 0.1250 0.8750 0.2500  4 Li 1.88
N: 0.8750 0.1250 0.7500  4 Li 1.88

No. 4
First-principles (GGA-PBE) data for crystalline LiCdN2 at its relaxed geometry, as listed in Alexandria.

Properties
- ΔE_f (raw) (eV per atom) = 1.31
- SG = R-3m, No. 166
- crystal system = trigonal

a b c (Å): 6.8592 6.8592 6.8592
angles (deg): 27.08 27.08 27.08
Last column: nearest neighbours and their distance in Å.
Atoms (fractional coordinates):
Li: 0.0000 0.0000 0.0000  6 N 2.23
Cd: 0.5000 0.5000 0.5000  2 N 2.07
N: 0.3956 0.3956 0.3956  1 Cd 2.07, 3 Li 2.23
N: 0.6044 0.6044 0.6044  1 Cd 2.07, 3 Li 2.23

No. 5
First-principles (GGA-PBE) data for crystalline LiCdN3 at its relaxed geometry, as listed in Alexandria.

Properties
- ΔE_f (raw) (eV per atom) = 2.08
- SG = Pm-3m, No. 221
- crystal system = cubic

a b c (Å): 4.2730 4.2730 4.2730
angles (deg): 90.00 90.00 90.00
Last column: nearest neighbours and their distance in Å.
Atoms (fractional coordinates):
Li: 0.0000 0.0000 0.0000  12 N 3.02
Cd: 0.5000 0.5000 0.5000  6 N 2.14
N: 0.0000 0.5000 0.5000  2 Cd 2.14
N: 0.5000 0.0000 0.5000  2 Cd 2.14
N: 0.5000 0.5000 0.0000  2 Cd 2.14

No. 6
First-principles (GGA-PBE) data for crystalline Li2CdN2 at its relaxed geometry, as listed in Alexandria.

Properties
- ΔE_f (raw) (eV per atom) = 0.03
- SG = P4/mbm, No. 127
- crystal system = tetragonal

a b c (Å): 6.5980 6.5980 3.0641
angles (deg): 90.00 90.00 90.00
Last column: nearest neighbours and their distance in Å.
Atoms (fractional coordinates):
Li: 0.1447 0.3553 0.0000  4 N 2.14
Li: 0.3553 0.8553 0.0000  4 N 2.14
Li: 0.6447 0.1447 0.0000  4 N 2.14
Li: 0.8553 0.6447 0.0000  4 N 2.14
Cd: 0.0000 0.0000 0.5000  4 N 2.88, 8 Li 2.96, 2 Cd 3.06
Cd: 0.5000 0.5000 0.5000  4 N 2.88, 8 Li 2.96, 2 Cd 3.06
N: 0.0683 0.5683 0.5000  1 N 1.27
N: 0.4317 0.0683 0.5000  1 N 1.27
N: 0.5683 0.9317 0.5000  1 N 1.27
N: 0.9317 0.4317 0.5000  1 N 1.27

No. 7
First-principles (GGA-PBE) data for crystalline LiCdN3 at its relaxed geometry, as listed in Alexandria.

Properties
- ΔE_f (raw) (eV per atom) = 1.98
- SG = Pm-3m, No. 221
- crystal system = cubic

a b c (Å): 3.7010 3.7010 3.7010
angles (deg): 90.00 90.00 90.00
Last column: nearest neighbours and their distance in Å.
Atoms (fractional coordinates):
Li: 0.0000 0.0000 0.0000  6 N 1.85
Cd: 0.5000 0.5000 0.5000  12 N 2.62
N: 0.0000 0.0000 0.5000  2 Li 1.85
N: 0.0000 0.5000 0.0000  2 Li 1.85
N: 0.5000 0.0000 0.0000  2 Li 1.85

No. 8
First-principles (GGA-PBE) data for crystalline Li4CdN at its relaxed geometry, as listed in Alexandria.

Properties
- relative energy among the computed polymorphs (meV per atom) = 42
- ΔE_f (raw) (eV per atom) = -0.24
- SG = Pmna, No. 53
- crystal system = orthorhombic

a b c (Å): 3.6174 8.4937 6.0896
angles (deg): 90.00 90.00 90.00
Last column: nearest neighbours and their distance in Å.
Atoms (fractional coordinates):
Li: 0.0000 0.0023 0.1677  3 N 2.02-2.08, 3 Li 2.04-2.07
Li: 0.0000 0.2285 0.5043  1 N 1.94
Li: 0.0000 0.7715 0.4957  1 N 1.94
Li: 0.0000 0.9977 0.8323  3 N 2.02-2.08, 3 Li 2.04-2.07
Li: 0.5000 0.0023 0.3323  3 N 2.02-2.08, 3 Li 2.04-2.07
Li: 0.5000 0.2285 0.9957  1 N 1.94
Li: 0.5000 0.7715 0.0043  1 N 1.94
Li: 0.5000 0.9977 0.6677  3 N 2.02-2.08, 3 Li 2.04-2.07
Cd: 0.0000 0.5000 0.0000  4 Li 2.93
Cd: 0.5000 0.5000 0.5000  4 Li 2.93
N: 0.0000 0.0000 0.5000  8 Li 1.94-2.08
N: 0.5000 0.0000 0.0000  8 Li 1.94-2.08

No. 9
First-principles (GGA-PBE) data for crystalline Li4CdN at its relaxed geometry, as listed in Alexandria.

Properties
- relative energy among the computed polymorphs (meV per atom) = 0
- ΔE_f (raw) (eV per atom) = -0.28
- SG = P-1, No. 2
- crystal system = triclinic

a b c (Å): 5.3636 5.3655 7.5968
angles (deg): 110.66 110.59 90.00
Last column: nearest neighbours and their distance in Å.
Atoms (fractional coordinates):
Li: 0.0476 0.1392 0.2829  1 N 1.93
Li: 0.2646 0.3607 0.7173  1 N 1.93
Li: 0.2719 0.2820 0.0542  2 N 1.93
Li: 0.2822 0.7822 0.0541  2 N 1.93
Li: 0.7178 0.2178 0.9459  2 N 1.93
Li: 0.7281 0.7180 0.9458  2 N 1.93
Li: 0.7354 0.6393 0.2827  1 N 1.93
Li: 0.9524 0.8608 0.7171  1 N 1.93
Cd: 0.3458 0.7503 0.5002  12 Li 3.03-3.35, 2 Cd 3.15
Cd: 0.6542 0.2497 0.4998  12 Li 3.03-3.35, 2 Cd 3.15
N: 0.0000 0.0000 0.0000  6 Li 1.93
N: 0.5000 0.5000 0.0000  6 Li 1.93

No. 10
First-principles (GGA-PBE) data for crystalline LiCdN2 at its relaxed geometry, as listed in Alexandria.

Properties
- ΔE_f (raw) (eV per atom) = 1.16
- SG = R-3m, No. 166
- crystal system = trigonal

a b c (Å): 6.2325 6.2325 6.2325
angles (deg): 32.06 32.06 32.06
Last column: nearest neighbours and their distance in Å.
Atoms (fractional coordinates):
Li: 0.0000 0.0000 0.0000  2 N 1.90
Cd: 0.5000 0.5000 0.5000  6 N 2.25
N: 0.1072 0.1072 0.1072  1 Li 1.90
N: 0.8928 0.8928 0.8928  1 Li 1.90

No. 11
First-principles (GGA-PBE) data for crystalline Li2CdN at its relaxed geometry, as listed in Alexandria.

Properties
- relative energy among the computed polymorphs (meV per atom) = 96
- ΔE_f (raw) (eV per atom) = 0.36
- SG = Fm-3m, No. 225
- crystal system = cubic

a b c (Å): 4.1571 4.1571 4.1571
angles (deg): 60.00 60.00 60.00
Last column: nearest neighbours and their distance in Å.
Atoms (fractional coordinates):
Li: 0.2500 0.2500 0.2500  4 Cd 2.55, 4 N 2.55
Li: 0.7500 0.7500 0.7500  4 Cd 2.55, 4 N 2.55
Cd: 0.0000 0.0000 0.0000  8 Li 2.55
N: 0.5000 0.5000 0.5000  8 Li 2.55

No. 12
First-principles (GGA-PBE) data for crystalline Li4Cd2N at its relaxed geometry, as listed in Alexandria.

Properties
- ΔE_f (raw) (eV per atom) = -0.23
- SG = I4/mmm, No. 139
- crystal system = tetragonal

a b c (Å): 8.8647 8.8647 8.8647
angles (deg): 154.99 154.99 35.67
Last column: nearest neighbours and their distance in Å.
Atoms (fractional coordinates):
Li: 0.0000 0.5000 0.5000  2 N 1.92
Li: 0.1140 0.1140 0.0000  1 N 1.92
Li: 0.5000 0.0000 0.5000  2 N 1.92
Li: 0.8860 0.8860 0.0000  1 N 1.92
Cd: 0.2939 0.2939 0.0000  5 Li 3.04-3.13, 4 Cd 3.09
Cd: 0.7061 0.7061 0.0000  5 Li 3.04-3.13, 4 Cd 3.09
N: 0.0000 0.0000 0.0000  6 Li 1.92

Repeat the ninth record exactly.
First-principles (GGA-PBE) data for crystalline Li4CdN at its relaxed geometry, as listed in Alexandria.

Properties
- relative energy among the computed polymorphs (meV per atom) = 0
- ΔE_f (raw) (eV per atom) = -0.28
- SG = P-1, No. 2
- crystal system = triclinic

a b c (Å): 5.3636 5.3655 7.5968
angles (deg): 110.66 110.59 90.00
Last column: nearest neighbours and their distance in Å.
Atoms (fractional coordinates):
Li: 0.0476 0.1392 0.2829  1 N 1.93
Li: 0.2646 0.3607 0.7173  1 N 1.93
Li: 0.2719 0.2820 0.0542  2 N 1.93
Li: 0.2822 0.7822 0.0541  2 N 1.93
Li: 0.7178 0.2178 0.9459  2 N 1.93
Li: 0.7281 0.7180 0.9458  2 N 1.93
Li: 0.7354 0.6393 0.2827  1 N 1.93
Li: 0.9524 0.8608 0.7171  1 N 1.93
Cd: 0.3458 0.7503 0.5002  12 Li 3.03-3.35, 2 Cd 3.15
Cd: 0.6542 0.2497 0.4998  12 Li 3.03-3.35, 2 Cd 3.15
N: 0.0000 0.0000 0.0000  6 Li 1.93
N: 0.5000 0.5000 0.0000  6 Li 1.93